Entry 1:
# PuMg2Bi

A relaxed PuMg2Bi crystal (PBE, the Alexandria database).

abc: 3.293 3.293 9.929
angles: 90.00 90.00 90.00
Space group P4/mmm (No. 123)
Inequivalent atoms, fractional coordinates:
Pu1 0.000 0.000 0.000 (multiplicity 1)
Mg1 0.500 0.500 0.254 (multiplicity 2)
Bi1 0.000 0.000 0.500 (multiplicity 1)

Values from the calculation:
Energy: -5.332 eV per atom
Calculated volume: 108 Å³ per cell

Entry 2:
# TbPm6Er2Sc

A relaxed TbPm6Er2Sc crystal (PBE, the Alexandria database).

abc: 9.224 15.203 9.376
angles: 90.00 96.22 90.00
Space group C2/c (No. 15)
Inequivalent atoms, fractional coordinates:
Tb1 0.000 0.027 0.250 (multiplicity 4)
Pm1 0.055 0.177 0.948 (multiplicity 8)
Pm2 0.099 0.388 0.113 (multiplicity 8)
Pm3 0.224 0.217 0.305 (multiplicity 8)
Er1 0.245 0.450 0.451 (multiplicity 8)
Sc1 0.000 0.420 0.750 (multiplicity 4)

Values from the calculation:
Energy: -4.732 eV per atom
Calculated volume: 1307 Å³ per cell